VASP calculation (PBE-GGA) on a relaxed Pr8CuPd2 crystal.

Geometry as CIF:
```
data_Pr8CuPd2
_chemical_formula_sum 'Pr16 Cu2 Pd4'
_space_group_name_H-M_alt 'C 1 2/m 1'
_space_group_IT_number 12
_cell_length_a 18.704
_cell_length_b 5.297
_cell_length_c 6.931
_cell_angle_alpha 90.00
_cell_angle_beta 108.72
_cell_angle_gamma 90.00
loop_
_space_group_symop_operation_xyz
'x,y,z'
'-x,-y,-z'
'-x,y,-z'
'x,-y,z'
'x+1/2,y+1/2,z'
'-x+1/2,-y+1/2,-z'
'-x+1/2,y+1/2,-z'
'x+1/2,-y+1/2,z'
loop_
_atom_site_label
_atom_site_type_symbol
_atom_site_fract_x
_atom_site_fract_y
_atom_site_fract_z
Pr1 Pr 0.027 0.000 0.289
Pr2 Pr 0.092 0.500 0.968
Pr3 Pr 0.173 0.500 0.506
Pr4 Pr 0.201 0.000 0.841
Cu1 Cu 0.000 0.500 0.500
Pd1 Pd 0.171 0.000 0.237
```

Calculated values
As for the excess energy over the best structure of this formula in the dataset: 0 meV per atom. The calculation puts the density of states at the Fermi level at 21.738 states/eV/cell. As for the crystal system: monoclinic. For the formation energy, the calculation gives -3.0 eV per formula unit.

---

VASP calculation (PBE-GGA) on a relaxed YTmSn crystal.

Geometry as CIF:
```
data_YTmSn
_chemical_formula_sum 'Y1 Tm1 Sn1'
_space_group_name_H-M_alt 'P 3 m 1'
_space_group_IT_number 156
_cell_length_a 5.0949
_cell_length_b 5.0949
_cell_length_c 3.8047
_cell_angle_alpha 90.00
_cell_angle_beta 90.00
_cell_angle_gamma 120.00
loop_
_space_group_symop_operation_xyz
'x,y,z'
'-y,x-y,z'
'-x+y,-x,z'
'-y,-x,z'
'-x+y,y,z'
'x,x-y,z'
loop_
_atom_site_label
_atom_site_type_symbol
_atom_site_fract_x
_atom_site_fract_y
_atom_site_fract_z
Y1 Y 0.0000 0.0000 0.0000
Tm1 Tm 0.6667 0.3333 0.5471
Sn1 Sn 0.3333 0.6667 0.3109
```

Calculated values
The calculation puts the density of states at the Fermi level at 2.755 states/eV/cell. As for the crystal system: trigonal. For the formation energy, the calculation gives -1.1 eV per formula unit.

---

VASP calculation (PBE-GGA) on a relaxed Y2TlSe crystal.

Geometry as CIF:
```
data_Y2TlSe
_chemical_formula_sum 'Y4 Tl2 Se2'
_space_group_name_H-M_alt 'I m m 2'
_space_group_IT_number 44
_cell_length_a 3.698
_cell_length_b 3.797
_cell_length_c 15.777
_cell_angle_alpha 90.00
_cell_angle_beta 90.00
_cell_angle_gamma 90.00
loop_
_space_group_symop_operation_xyz
'x,y,z'
'-x,-y,z'
'-x,y,z'
'x,-y,z'
'x+1/2,y+1/2,z+1/2'
'-x+1/2,-y+1/2,z+1/2'
'-x+1/2,y+1/2,z+1/2'
'x+1/2,-y+1/2,z+1/2'
loop_
_atom_site_label
_atom_site_type_symbol
_atom_site_fract_x
_atom_site_fract_y
_atom_site_fract_z
Y1 Y 0.000 0.000 0.000
Y2 Y 0.000 0.500 0.222
Tl1 Tl 0.000 0.000 0.382
Se1 Se 0.000 0.500 0.642
```

Calculated values
As for the excess energy over the best structure of this formula in the dataset: 164 meV per atom. The calculation puts the density of states at the Fermi level at 6.107 states/eV/cell. As for the crystal system: orthorhombic. The formation energy from raw total energies comes out at -0.91 eV per atom.

---

VASP calculation (PBE-GGA) on a relaxed ReAgC2 crystal.

Geometry as CIF:
```
data_ReAgC2
_chemical_formula_sum 'Re4 Ag4 C8'
_space_group_name_H-M_alt 'F m -3 m'
_space_group_IT_number 225
_space_group_name_Hall '-F 4 2 3'
_cell_length_a 5.575
_cell_length_b 5.575
_cell_length_c 5.575
_cell_angle_alpha 90.00
_cell_angle_beta 90.00
_cell_angle_gamma 90.00
loop_
_atom_site_label
_atom_site_type_symbol
_atom_site_fract_x
_atom_site_fract_y
_atom_site_fract_z
Re1 Re 0.000 0.000 0.000
Ag1 Ag 0.000 0.000 0.500
C1 C 0.250 0.250 0.250
```

Calculated values
As for the excess energy over the best structure of this formula in the dataset: 1138 meV per atom. The calculation puts the density of states at the Fermi level at 20.631 states/eV/cell. As for the crystal system: cubic. For the formation energy, the calculation gives 8.4 eV per formula unit.

---

VASP calculation (PBE-GGA) on a relaxed Ti3CdN crystal.

Geometry as CIF:
```
data_Ti3CdN
_chemical_formula_sum 'Ti24 Cd8 N8'
_space_group_name_H-M_alt 'C 1 2/c 1'
_space_group_IT_number 15
_cell_length_a 14.135
_cell_length_b 9.199
_cell_length_c 5.551
_cell_angle_alpha 90.00
_cell_angle_beta 101.47
_cell_angle_gamma 90.00
loop_
_space_group_symop_operation_xyz
'x,y,z'
'-x,-y,-z'
'-x,y,-z+1/2'
'x,-y,z+1/2'
'x+1/2,y+1/2,z'
'-x+1/2,-y+1/2,-z'
'-x+1/2,y+1/2,-z+1/2'
'x+1/2,-y+1/2,z+1/2'
loop_
_atom_site_label
_atom_site_type_symbol
_atom_site_fract_x
_atom_site_fract_y
_atom_site_fract_z
Ti1 Ti 0.152 0.112 0.135
Ti2 Ti 0.174 0.254 0.628
Ti3 Ti 0.183 0.440 0.102
Cd1 Cd 0.000 0.297 0.250
Cd2 Cd 0.000 0.386 0.750
N1 N 0.171 0.073 0.803
```

Calculated values
The calculation puts the density of states at the Fermi level at 28.771 states/eV/cell. As for the crystal system: monoclinic. The formation energy from raw total energies comes out at -0.44 eV per atom.

---

VASP calculation (PBE-GGA) on a relaxed ScPbBr2 crystal.

Geometry as CIF:
```
data_ScPbBr2
_chemical_formula_sum 'Sc2 Pb2 Br4'
_space_group_name_H-M_alt 'C 1 2/m 1'
_space_group_IT_number 12
_cell_length_a 13.709
_cell_length_b 3.518
_cell_length_c 5.631
_cell_angle_alpha 90.00
_cell_angle_beta 105.39
_cell_angle_gamma 90.00
loop_
_space_group_symop_operation_xyz
'x,y,z'
'-x,-y,-z'
'-x,y,-z'
'x,-y,z'
'x+1/2,y+1/2,z'
'-x+1/2,-y+1/2,-z'
'-x+1/2,y+1/2,-z'
'x+1/2,-y+1/2,z'
loop_
_atom_site_label
_atom_site_type_symbol
_atom_site_fract_x
_atom_site_fract_y
_atom_site_fract_z
Sc1 Sc 0.000 0.000 0.000
Pb1 Pb 0.000 0.500 0.500
Br1 Br 0.155 0.500 0.189
```

Calculated values
As for the excess energy over the best structure of this formula in the dataset: 92 meV per atom. The calculation puts the density of states at the Fermi level at 3.680 states/eV/cell. As for the crystal system: monoclinic. The formation energy from raw total energies comes out at -0.89 eV per atom.

---

VASP calculation (PBE-GGA) on a relaxed CdNi crystal.

Geometry as CIF:
```
data_CdNi
_chemical_formula_sum 'Cd4 Ni4'
_space_group_name_H-M_alt 'P 21 3'
_space_group_IT_number 198
_space_group_name_Hall 'P 2ac 2ab 3'
_cell_length_a 5.023
_cell_length_b 5.023
_cell_length_c 5.023
_cell_angle_alpha 90.00
_cell_angle_beta 90.00
_cell_angle_gamma 90.00
loop_
_atom_site_label
_atom_site_type_symbol
_atom_site_fract_x
_atom_site_fract_y
_atom_site_fract_z
Cd1 Cd 0.094 0.406 0.594
Ni1 Ni 0.100 0.900 0.400
```

Calculated values
The calculation puts the density of states at the Fermi level at 6.069 states/eV/cell. As for the crystal system: cubic. For the formation energy, the calculation gives 0.3 eV per formula unit.

---

VASP calculation (PBE-GGA) on a relaxed ThCo3P3 crystal.

Geometry as CIF:
```
data_ThCo3P3
_chemical_formula_sum 'Th2 Co6 P6'
_space_group_name_H-M_alt 'P m -3 n'
_space_group_IT_number 223
_space_group_name_Hall '-P 4n 2 3'
_cell_length_a 6.052
_cell_length_b 6.052
_cell_length_c 6.052
_cell_angle_alpha 90.00
_cell_angle_beta 90.00
_cell_angle_gamma 90.00
loop_
_atom_site_label
_atom_site_type_symbol
_atom_site_fract_x
_atom_site_fract_y
_atom_site_fract_z
Th1 Th 0.000 0.000 0.000
Co1 Co 0.000 0.250 0.500
P1 P 0.000 0.500 0.250
```

Calculated values
The calculation puts the density of states at the Fermi level at 13.064 states/eV/cell. As for the crystal system: cubic. For the formation energy, the calculation gives -4.6 eV per formula unit.

---

VASP calculation (PBE-GGA) on a relaxed ErMnS3 crystal.

Geometry as CIF:
```
data_ErMnS3
_chemical_formula_sum 'Er4 Mn4 S12'
_space_group_name_H-M_alt 'P n m a'
_space_group_IT_number 62
_cell_length_a 7.736
_cell_length_b 3.586
_cell_length_c 13.461
_cell_angle_alpha 90.00
_cell_angle_beta 90.00
_cell_angle_gamma 90.00
loop_
_space_group_symop_operation_xyz
'x,y,z'
'-x,-y,-z'
'-x+1/2,-y,z+1/2'
'x+1/2,y,-z+1/2'
'x+1/2,-y+1/2,-z+1/2'
'-x+1/2,y+1/2,z+1/2'
'-x,y+1/2,-z'
'x,-y+1/2,z'
loop_
_atom_site_label
_atom_site_type_symbol
_atom_site_fract_x
_atom_site_fract_y
_atom_site_fract_z
Er1 Er 0.155 0.250 0.193
Mn1 Mn 0.182 0.750 0.455
S1 S 0.020 0.250 0.386
S2 S 0.138 0.250 0.796
S3 S 0.166 0.750 0.036
```

Calculated values
As for the excess energy over the best structure of this formula in the dataset: 0 meV per atom. The calculation puts the density of states at the Fermi level at 3.099 states/eV/cell. As for the crystal system: orthorhombic. The formation energy from raw total energies comes out at -1.23 eV per atom.

---

VASP calculation (PBE-GGA) on a relaxed Tb2ScZn12Ni3 crystal.

Geometry as CIF:
```
data_Tb2ScZn12Ni3
_chemical_formula_sum 'Tb6 Sc3 Zn36 Ni9'
_space_group_name_H-M_alt 'R -3 m'
_space_group_IT_number 166
_space_group_name_Hall '-R 3 2"'
_cell_length_a 7.6990
_cell_length_b 7.6990
_cell_length_c 20.0856
_cell_angle_alpha 90.00
_cell_angle_beta 90.00
_cell_angle_gamma 120.00
loop_
_atom_site_label
_atom_site_type_symbol
_atom_site_fract_x
_atom_site_fract_y
_atom_site_fract_z
Tb1 Tb 0.0000 0.0000 0.0882
Sc1 Sc 0.0000 0.0000 0.5000
Zn1 Zn 0.0795 0.5397 0.2773
Zn2 Zn 0.0938 0.5469 0.8807
Ni1 Ni 0.0000 0.5000 0.0000
```

Calculated values
The calculation puts the density of states at the Fermi level at 30.533 states/eV/cell. As for the crystal system: trigonal. For the formation energy, the calculation gives 2.2 eV per formula unit.

---

VASP calculation (PBE-GGA) on a relaxed CePrDy crystal.

Geometry as CIF:
```
data_CePrDy
_chemical_formula_sum 'Ce2 Pr2 Dy2'
_space_group_name_H-M_alt 'P -1'
_space_group_IT_number 2
_cell_length_a 3.552
_cell_length_b 6.151
_cell_length_c 8.815
_cell_angle_alpha 90.24
_cell_angle_beta 90.22
_cell_angle_gamma 90.25
loop_
_space_group_symop_operation_xyz
'x,y,z'
'-x,-y,-z'
loop_
_atom_site_label
_atom_site_type_symbol
_atom_site_fract_x
_atom_site_fract_y
_atom_site_fract_z
Ce1 Ce 0.249 0.244 0.002
Pr1 Pr 0.251 0.585 0.323
Dy1 Dy 0.250 0.916 0.672
```

Calculated values
As for the excess energy over the best structure of this formula in the dataset: 0 meV per atom. The calculation puts the density of states at the Fermi level at 13.018 states/eV/cell. As for the crystal system: triclinic. For the formation energy, the calculation gives 0.2 eV per formula unit.